Material: Ba2CaOsN4
Method: DFT, PBE-GGA
State: optimized geometry

```
Ba2CaOsN4
1.0
6.086 0.000 0.000
0.000 7.831 0.000
0.000 0.000 6.561
Ba Ca Os N
4 2 2 8
Direct
0.250 0.011 0.226 Ba
0.250 0.489 0.226 Ba
0.750 0.511 0.774 Ba
0.750 0.989 0.774 Ba
0.250 0.250 0.770 Ca
0.750 0.750 0.230 Ca
0.250 0.750 0.787 Os
0.750 0.250 0.213 Os
0.028 0.750 0.000 N
0.250 0.549 0.651 N
0.250 0.951 0.651 N
0.472 0.750 0.000 N
0.528 0.250 0.000 N
0.750 0.049 0.349 N
0.750 0.451 0.349 N
0.972 0.250 0.000 N
```

SG: Pmmn
Formation energy (no corrections), meV/atom: -510
Calculated volume, A^3/atom: 19.544
Fermi-level density of states, states/eV/atom: 0.277

=====

Material: MnAg2Se
Method: DFT, PBE-GGA
State: optimized geometry

```
MnAg2Se
1.0
1.541 0.890 8.991
-1.541 0.890 8.991
0.000 -1.779 8.991
Mn Ag Se
1 2 1
Direct
0.000 0.000 0.000 Mn
0.254 0.254 0.254 Ag
0.746 0.746 0.746 Ag
0.500 0.500 0.500 Se
```

SG: R-3m
Formation energy (no corrections), meV/atom: 307
Calculated volume, A^3/atom: 18.483
Fermi-level density of states, states/eV/atom: 0.683

=====

Material: BaLaOs
Method: DFT, PBE-GGA
State: optimized geometry

```
BaLaOs
1.0
4.458 0.000 0.000
-2.229 3.861 0.000
0.000 0.000 6.473
Ba La Os
1 1 1
Direct
0.000 0.000 0.000 Ba
0.667 0.333 0.548 La
0.333 0.667 0.688 Os
```

SG: P3m1
ΔH_f (0 K), meV per atom: 285
Calculated volume, A^3/atom: 37.147
Fermi-level density of states, states/eV/atom: 0.924

=====

Material: TlTcAs2S
Method: DFT, PBE-GGA
State: optimized geometry

```
TlTcAs2S
1.0
5.281 0.000 0.000
0.000 5.281 0.000
0.000 0.000 5.041
Tl Tc As S
1 1 2 1
Direct
0.000 0.000 0.000 Tl
0.500 0.500 0.500 Tc
0.000 0.500 0.000 As
0.500 0.000 0.000 As
0.000 0.000 0.500 S
```

SG: P4/mmm
Formation energy (no corrections), meV/atom: 1631
Calculated volume, A^3/atom: 28.124
Fermi-level density of states, states/eV/atom: 0.854

=====

Material: NaGa3P
Method: DFT, PBE-GGA
State: optimized geometry

```
NaGa3P
1.0
4.925 0.000 0.000
0.000 4.925 0.000
0.000 0.000 4.925
Na Ga P
1 3 1
Direct
0.000 0.000 0.000 Na
0.000 0.500 0.500 Ga
0.500 0.000 0.500 Ga
0.500 0.500 0.000 Ga
0.500 0.500 0.500 P
```

SG: Pm-3m
ΔH_f (0 K), meV per atom: 219
Calculated volume, A^3/atom: 23.891
Fermi-level density of states, states/eV/atom: 0.388

=====

Material: CeNiPt
Method: DFT, PBE-GGA
State: optimized geometry

```
CeNiPt
1.0
4.321 0.000 0.000
-2.160 3.742 0.000
0.000 0.000 3.653
Ce Ni Pt
1 1 1
Direct
0.000 0.000 0.000 Ce
0.333 0.667 0.500 Ni
0.667 0.333 0.500 Pt
```

SG: P-6m2
ΔH_f (0 K), meV per atom: -684
Calculated volume, A^3/atom: 19.688
Fermi-level density of states, states/eV/atom: 2.395

=====

Material: ZnAu2Se
Method: DFT, PBE-GGA
State: optimized geometry

```
ZnAu2Se
1.0
2.882 -4.675 0.000
2.882 4.675 0.000
-0.145 0.000 2.901
Zn Au Se
1 2 1
Direct
0.000 0.000 0.000 Zn
0.000 0.500 0.000 Au
0.500 0.000 0.000 Au
0.500 0.500 0.000 Se
```

SG: C2/m
Formation energy (no corrections), meV/atom: 90
Calculated volume, A^3/atom: 19.542
Fermi-level density of states, states/eV/atom: 0.419

=====

Material: BeW2Se
Method: DFT, PBE-GGA
State: optimized geometry

```
BeW2Se
1.0
0.000 3.120 3.120
3.120 0.000 3.120
3.120 3.120 0.000
Be W Se
1 2 1
Direct
0.000 0.000 0.000 Be
0.500 0.500 0.500 W
0.750 0.750 0.750 W
0.250 0.250 0.250 Se
```

SG: F-43m
Formation energy (no corrections), meV/atom: 651
Calculated volume, A^3/atom: 15.183
Fermi-level density of states, states/eV/atom: 0.611

=====

no.,size of the total moment (μB per atom)
1,0.000
2,1.050
3,0.000
4,0.572
5,0.000
6,0.162
7,0.000
8,0.000